1.
A plane-wave DFT calculation with PBEsol was carried out for CdCoOs2 after structural relaxation.

The structure in POSCAR format:
```
CdCoOs2
1.0
2.735 0.000 0.000
0.000 2.735 0.000
0.000 0.000 7.571
Cd Co Os
1 1 2
Direct
0.000 0.000 0.000
0.500 0.500 0.258
0.000 0.000 0.475
0.500 0.500 0.709
```

energy: -32.20 eV/cell
space-group type: P4mm (99)
ΔH_f (0 K): 0.292 eV/atom

=====

2.
A plane-wave DFT calculation with PBEsol was carried out for LaFe2Te after structural relaxation.

The structure in POSCAR format:
```
LaFe2Te
1.0
4.458 0.000 0.000
0.000 4.458 0.000
0.000 0.000 3.761
La Fe Te
1 2 1
Direct
0.000 0.000 0.000
0.000 0.500 0.500
0.500 0.000 0.500
0.500 0.500 0.000
```

energy: -26.04 eV/cell
ΔE_f (raw): 0.19 eV per atom
space-group type: P4/mmm (123)

=====

3.
A plane-wave DFT calculation with PBEsol was carried out for TaNi2PdAu after structural relaxation.

The structure in POSCAR format:
```
TaNi2PdAu
1.0
4.351 0.000 0.000
0.000 4.351 0.000
0.000 0.000 4.835
Ta Ni Pd Au
1 2 1 1
Direct
0.000 0.000 0.000
0.000 0.500 0.500
0.500 0.000 0.500
0.500 0.500 0.500
0.500 0.500 0.000
```

energy: -27.19 eV/cell
space-group type: P4/mmm (123)
ΔH_f (0 K): 1.512 eV/atom

=====

4.
A plane-wave DFT calculation with PBEsol was carried out for Y2MnAl after structural relaxation.

The structure in POSCAR format:
```
Y2MnAl
1.0
4.528 0.000 0.000
0.000 3.507 0.000
0.000 0.000 11.408
Y Mn Al
4 2 2
Direct
0.000 0.000 0.000
0.000 0.500 0.500
0.500 0.000 0.304
0.500 0.500 0.804
0.500 0.000 0.590
0.500 0.500 0.090
0.000 0.000 0.715
0.000 0.500 0.215
```

energy: -55.47 eV/cell
space-group type: Amm2 (38)
ΔH_f (0 K): -0.059 eV/atom

=====

| no. | D(E_F) (states/eV/atom) |
| --- | --- |
| 1 | 0.9300 |
| 2 | 1.5365 |
| 3 | 1.8166 |
| 4 | 1.0602 |